1.
# TlCdGa2Ir

A geometry-optimized TlCdGa2Ir structure (PBE, Alexandria).

a b c (Å): 4.8167 4.8167 5.3461
angles (deg): 90.00 90.00 90.00
Closest atoms and distances in Å follow each position.
Space group P4/mmm (No. 123)
Symmetry-distinct sites (fractional):
Tl 0.0000 0.0000 0.0000 x1  4 Cd 3.41, 8 Ga 3.60
Cd 0.5000 0.5000 0.0000 x1  2 Ir 2.67
Ga 0.0000 0.5000 0.5000 x2  2 Ir 2.41
Ir 0.5000 0.5000 0.5000 x1  4 Ga 2.41, 2 Cd 2.67

Results
M_tot = 0.00 μB per formula unit
density = 8.7 g/cm3
energy relative to the elements = -133 meV/atom
electronic total energy = -3.77 eV per atom

2.
# Na4Np3HgTe8

A geometry-optimized Na4Np3HgTe8 structure (PBE, Alexandria).

a b c (Å): 8.9896 8.9896 22.2812
angles (deg): 90.00 90.00 120.00
Closest atoms and distances in Å follow each position.
Space group R-3m (No. 166, hexagonal axes)
Symmetry-distinct sites (fractional):
Na 0.0000 0.0000 0.0000 x3  6 Te 3.25
Na 0.0000 0.5000 0.0000 x9  6 Te 3.26-3.29
Np 0.0000 0.5000 0.5000 x9  6 Te 3.09-3.12
Hg 0.0000 0.0000 0.5000 x3  6 Te 3.14
Te 0.0000 0.0000 0.2447 x6  3 Np 3.12, 3 Na 3.26
Te 0.0048 0.5024 0.7565 x18  2 Np 3.09, 1 Hg 3.14, 3 Na 3.25-3.29

Results
M_tot = 10.89 μB per formula unit
density = 6.5 g/cm3
raw formation energy = -0.697 eV per atom
electronic total energy = -5.04 eV per atom

3.
# Er5GaTe5

A geometry-optimized Er5GaTe5 structure (PBE, Alexandria).

a b c (Å): 13.6733 6.0761 8.5528
angles (deg): 90.00 108.71 90.00
Closest atoms and distances in Å follow each position.
Space group C2/m (No. 12)
Symmetry-distinct sites (fractional):
Er 0.0000 0.0000 0.0000 x2  2 Ga 3.04, 4 Te 3.07-3.09
Er 0.1561 0.5000 0.8399 x4  1 Ga 2.88, 5 Te 3.00-3.13
Er 0.1568 0.5000 0.3194 x4  1 Ga 2.88, 5 Te 3.02-3.11
Ga 0.0000 0.5000 0.0000 x2  6 Er 2.88-3.04
Te 0.0000 0.5000 0.5000 x2  4 Er 3.00-3.02
Te 0.1651 0.0000 0.8273 x4  5 Er 3.04-3.10
Te 0.1750 0.0000 0.3351 x4  5 Er 3.05-3.13

Results
M_tot = 0.00 μB per formula unit
density = 7.6 g/cm3
raw formation energy = -1.213 eV per atom
electronic total energy = -4.99 eV per atom

4.
# Rb4Ce3US8

A geometry-optimized Rb4Ce3US8 structure (PBE, Alexandria).

a b c (Å): 14.6206 8.4299 9.1006
angles (deg): 90.00 122.38 90.00
Closest atoms and distances in Å follow each position.
Space group C2/m (No. 12)
Symmetry-distinct sites (fractional):
Rb 0.0000 0.0000 0.0000 x2  6 S 3.42
Rb 0.0000 0.5000 0.0000 x2  6 S 3.36-3.37
Rb 0.2500 0.2500 0.0000 x4  6 S 3.36-3.37
Ce 0.0000 0.0000 0.5000 x2  6 S 2.87-2.88
Ce 0.2500 0.2500 0.5000 x4  6 S 2.87-2.88
U 0.0000 0.5000 0.5000 x2  6 S 2.81-2.82
S 0.0167 0.2554 0.3057 x8  1 U 2.81, 2 Ce 2.88
S 0.2282 0.5000 0.6946 x4  1 U 2.82, 2 Ce 2.88
S 0.2326 0.0000 0.6972 x4  3 Ce 2.87

Results
M_tot = 2.12 μB per formula unit
density = 4.4 g/cm3
raw formation energy = -1.644 eV per atom
electronic total energy = -5.77 eV per atom

5.
# Sn3RhPb

A geometry-optimized Sn3RhPb structure (PBE, Alexandria).

a b c (Å): 5.6464 5.6464 5.6464
angles (deg): 90.00 90.00 90.00
Closest atoms and distances in Å follow each position.
Space group Pm-3m (No. 221)
Symmetry-distinct sites (fractional):
Sn 0.0000 0.0000 0.5000 x3  2 Pb 2.82
Rh 0.5000 0.5000 0.5000 x1  12 Sn 3.99
Pb 0.0000 0.0000 0.0000 x1  6 Sn 2.82

Results
energy above the most stable polymorph in this dataset = 1.3350 eV/atom
M_tot = 0.00 μB per formula unit
density = 6.1 g/cm3
energy relative to the elements = 1342 meV/atom
electronic total energy = -3.27 eV per atom

6.
# Cd2TcMo

A geometry-optimized Cd2TcMo structure (PBE, Alexandria).

a b c (Å): 3.1220 3.1220 7.5165
angles (deg): 90.00 90.00 90.00
Closest atoms and distances in Å follow each position.
Space group P4mm (No. 99)
Symmetry-distinct sites (fractional):
Cd 0.0000 0.0000 0.0000 x1  4 Tc 2.96, 8 Cd 3.10-3.12, 1 Mo 3.30
Cd 0.5000 0.5000 0.2888 x1  4 Mo 3.01, 8 Cd 3.10-3.12, 1 Tc 3.37
Tc 0.5000 0.5000 0.7368 x1  4 Mo 2.57
Mo 0.0000 0.0000 0.5608 x1  4 Tc 2.57

Results
energy above the most stable polymorph in this dataset = 0.0000 eV/atom
M_tot = 0.00 μB per formula unit
density = 9.5 g/cm3
energy relative to the elements = 186 meV/atom
electronic total energy = -5.57 eV per atom

7.
# YTcP4

A geometry-optimized YTcP4 structure (PBE, Alexandria).

a b c (Å): 7.2561 7.2561 7.2561
angles (deg): 90.00 90.00 90.00
Closest atoms and distances in Å follow each position.
Space group F-43m (No. 216)
Symmetry-distinct sites (fractional):
Y 0.0000 0.0000 0.0000 x4  12 P 3.01, 4 Tc 3.14
Tc 0.2500 0.2500 0.2500 x4  12 P 3.00, 4 Y 3.14
P 0.1225 0.1225 0.6225 x16  6 P 2.51-2.62

Results
M_tot = 0.23 μB per formula unit
density = 5.4 g/cm3
energy relative to the elements = 281 meV/atom
electronic total energy = -6.13 eV per atom

8.
# Zr3Zn4Cu4

A geometry-optimized Zr3Zn4Cu4 structure (PBE, Alexandria).

a b c (Å): 2.9092 4.3595 13.9477
angles (deg): 98.96 95.92 90.05
Closest atoms and distances in Å follow each position.
Space group P-1 (No. 2)
Symmetry-distinct sites (fractional):
Zr 0.0000 0.0000 0.0000 x1  8 Cu 2.90-2.91, 2 Zr 2.91, 4 Zn 2.93-2.94
Zr 0.1406 0.6393 0.2791 x2  6 Cu 2.90-2.95, 2 Zr 2.91, 6 Zn 2.91-3.00
Zn 0.2650 0.2645 0.5291 x2  4 Cu 2.58-2.62, 4 Zn 2.74
Zn 0.4060 0.9072 0.8141 x2  3 Cu 2.53
Cu 0.3124 0.8150 0.6297 x2  5 Zn 2.53-2.62
Cu 0.4516 0.4542 0.9078 x2  1 Cu 2.53, 2 Zn 2.53

Results
energy above the most stable polymorph in this dataset = 0.0000 eV/atom
M_tot = 0.00 μB per formula unit
density = 7.5 g/cm3
energy relative to the elements = -186 meV/atom
electronic total energy = -4.47 eV per atom

9.
# Pm3NdDy6Ho2

A geometry-optimized Pm3NdDy6Ho2 structure (PBE, Alexandria).

a b c (Å): 6.1997 10.7321 11.8379
angles (deg): 90.00 100.01 90.00
Closest atoms and distances in Å follow each position.
Space group C2/m (No. 12)
Symmetry-distinct sites (fractional):
Pm 0.0000 0.0000 0.0000 x2  6 Pm 3.58, 6 Dy 3.59
Pm 0.0000 0.3331 0.0000 x4  6 Pm 3.58, 6 Dy 3.59
Nd 0.0000 0.5000 0.5000 x2  6 Dy 3.56, 6 Ho 3.58
Dy 0.2490 0.0000 0.7482 x4  2 Ho 3.56, 1 Nd 3.56, 6 Dy 3.57-3.59, 3 Pm 3.59
Dy 0.2499 0.1670 0.2518 x8  2 Ho 3.55, 1 Nd 3.56, 6 Dy 3.57-3.59, 3 Pm 3.59
Ho 0.0000 0.1668 0.5000 x4  6 Dy 3.55-3.56, 3 Nd 3.58, 3 Ho 3.58

Results
M_tot = 0.00 μB per formula unit
density = 8.1 g/cm3
energy relative to the elements = 15 meV/atom
electronic total energy = -4.63 eV per atom

10.
# Tm5Ag2Pt2

A geometry-optimized Tm5Ag2Pt2 structure (PBE, Alexandria).

a b c (Å): 15.1829 7.4205 7.6568
angles (deg): 90.00 90.00 90.00
Closest atoms and distances in Å follow each position.
Space group Cmce (No. 64)
Symmetry-distinct sites (fractional):
Tm 0.0000 0.0000 0.0000 x4  4 Pt 2.92-2.96, 2 Ag 3.18
Tm 0.1283 0.1705 0.3280 x16  3 Pt 2.85-3.07, 3 Ag 3.04-3.07
Ag 0.2097 0.0000 0.0000 x8  7 Tm 3.04-3.18
Pt 0.0000 0.1326 0.6351 x8  8 Tm 2.85-3.07, 1 Pt 2.86

Results
M_tot = 0.00 μB per formula unit
density = 11.2 g/cm3
energy relative to the elements = -739 meV/atom
electronic total energy = -5.20 eV per atom

11.
# Sr3MgCd

A geometry-optimized Sr3MgCd structure (PBE, Alexandria).

a b c (Å): 6.2991 6.2991 6.2991
angles (deg): 90.00 90.00 90.00
Closest atoms and distances in Å follow each position.
Space group Pm-3m (No. 221)
Symmetry-distinct sites (fractional):
Sr 0.0000 0.0000 0.5000 x3  2 Cd 3.15
Mg 0.5000 0.5000 0.5000 x1  12 Sr 4.45
Cd 0.0000 0.0000 0.0000 x1  6 Sr 3.15

Results
energy above the most stable polymorph in this dataset = 0.2780 eV/atom
M_tot = 0.00 μB per formula unit
density = 2.7 g/cm3
energy relative to the elements = 124 meV/atom
electronic total energy = -1.39 eV per atom

12.
# LiYF4

A geometry-optimized LiYF4 structure (PBE, Alexandria).

a b c (Å): 5.2499 5.2499 10.8486
angles (deg): 90.00 90.00 90.00
Closest atoms and distances in Å follow each position.
Space group I4_1/a (No. 88, origin choice 2)
Symmetry-distinct sites (fractional):
Li 0.0000 0.2500 0.1250 x4  4 F 1.93
Y 0.0000 0.2500 0.6250 x4  8 F 2.27-2.33
F 0.1662 0.4678 0.7938 x16  1 Li 1.93

Results
energy above the most stable polymorph in this dataset = 0.0000 eV/atom
M_tot = 0.00 μB per formula unit
density = 3.8 g/cm3
raw formation energy = -3.757 eV per atom
electronic total energy = -6.40 eV per atom

13.
# Rb2ReMo

A geometry-optimized Rb2ReMo structure (PBE, Alexandria).

a b c (Å): 7.4789 7.4789 7.4789
angles (deg): 90.00 90.00 90.00
Closest atoms and distances in Å follow each position.
Space group Fm-3m (No. 225)
Symmetry-distinct sites (fractional):
Rb 0.2500 0.2500 0.2500 x8  4 Mo 3.24, 4 Re 3.24
Re 0.0000 0.0000 0.0000 x4  8 Rb 3.24
Mo 0.0000 0.0000 0.5000 x4  8 Rb 3.24

Results
energy above the most stable polymorph in this dataset = 1.1174 eV/atom
M_tot = 6.70 μB per formula unit
density = 7.2 g/cm3
energy relative to the elements = 2887 meV/atom
electronic total energy = -3.42 eV per atom

14.
# Cs2SeBr6

A geometry-optimized Cs2SeBr6 structure (PBE, Alexandria).

a b c (Å): 13.3412 7.7207 6.9157
angles (deg): 90.00 90.87 90.00
Closest atoms and distances in Å follow each position.
Space group C2/m (No. 12)
Symmetry-distinct sites (fractional):
Cs 0.1680 0.0000 0.2263 x4  9 Br 3.83-3.86
Se 0.0000 0.5000 0.0000 x2  6 Br 2.61
Br 0.0791 0.2593 0.7844 x8  1 Se 2.61
Br 0.1622 0.5000 0.2171 x4  1 Se 2.61

Results
M_tot = 0.00 μB per formula unit
density = 3.8 g/cm3
raw formation energy = -0.916 eV per atom
electronic total energy = -2.61 eV per atom

15.
# CsTlSnPSe

A geometry-optimized CsTlSnPSe structure (PBE, Alexandria).

a b c (Å): 5.1676 5.5875 7.5757
angles (deg): 79.61 70.60 70.34
Closest atoms and distances in Å follow each position.
Space group P1 (No. 1)
Symmetry-distinct sites (fractional):
Cs 0.0000 0.0000 0.0000 x1  2 P 3.55-3.60, 2 Se 3.73-3.86, 1 Tl 3.88, 1 Sn 3.92
Tl 0.9436 0.7263 0.5832 x1  1 P 2.89, 2 Sn 3.16-3.20, 1 Se 3.19
Sn 0.5266 0.2983 0.5902 x1  1 P 2.59, 1 Se 2.81
P 0.9059 0.4466 0.3114 x1  1 Se 2.33, 1 Sn 2.59
Se 0.2950 0.1189 0.3719 x1  1 P 2.33

Results
energy above the most stable polymorph in this dataset = 0.1348 eV/atom
M_tot = 0.00 μB per formula unit
density = 4.9 g/cm3
raw formation energy = -0.231 eV per atom
electronic total energy = -3.45 eV per atom

16.
# PaFeCl6

A geometry-optimized PaFeCl6 structure (PBE, Alexandria).

a b c (Å): 6.2916 13.0395 6.2898
angles (deg): 90.00 110.66 90.00
Closest atoms and distances in Å follow each position.
Space group C2/m (No. 12)
Symmetry-distinct sites (fractional):
Pa 0.0000 0.0000 0.0000 x2  6 Cl 2.60-2.62
Fe 0.0000 0.5000 0.5000 x2  6 Cl 2.48-2.57
Cl 0.2363 0.3609 0.7356 x8  1 Fe 2.48, 1 Pa 2.62
Cl 0.2481 0.5000 0.2510 x4  1 Fe 2.57, 1 Pa 2.60

Results
M_tot = 3.00 μB per formula unit
density = 3.4 g/cm3
raw formation energy = -1.433 eV per atom
electronic total energy = -5.06 eV per atom

17.
# SbPb8Au2

A geometry-optimized SbPb8Au2 structure (PBE, Alexandria).

a b c (Å): 18.7720 4.6188 7.8008
angles (deg): 90.00 105.48 90.00
Closest atoms and distances in Å follow each position.
Space group C2/m (No. 12)
Symmetry-distinct sites (fractional):
Sb 0.0000 0.0000 0.0000 x2  6 Pb 3.22-3.29
Pb 0.0289 0.5000 0.7395 x4  1 Au 3.08, 2 Sb 3.22
Pb 0.1002 0.0000 0.4811 x4  2 Au 3.15, 4 Pb 3.44-3.46
Pb 0.1701 0.0000 0.9594 x4  3 Au 3.07-3.12, 1 Sb 3.29
Pb 0.2042 0.5000 0.3282 x4  3 Au 3.12-3.13, 2 Pb 3.44
Au 0.1901 0.5000 0.7172 x4  9 Pb 3.07-3.15

Results
energy above the most stable polymorph in this dataset = 0.0000 eV/atom
M_tot = 0.00 μB per formula unit
density = 11.1 g/cm3
raw formation energy = -0.018 eV per atom
electronic total energy = -3.69 eV per atom

18.
# Y8AlAg2

A geometry-optimized Y8AlAg2 structure (PBE, Alexandria).

a b c (Å): 8.7181 14.3400 5.3987
angles (deg): 90.00 109.65 90.00
Closest atoms and distances in Å follow each position.
Space group C2/m (No. 12)
Symmetry-distinct sites (fractional):
Y 0.0000 0.2229 0.0000 x4  2 Ag 2.94, 1 Al 3.20
Y 0.1112 0.5000 0.8069 x4  1 Al 3.19, 6 Y 3.23-3.53, 2 Ag 3.23
Y 0.2078 0.1160 0.6013 x8  2 Ag 3.00-3.20, 1 Y 3.33
Al 0.0000 0.0000 0.0000 x2  8 Y 3.19-3.55
Ag 0.0000 0.3046 0.5000 x4  8 Y 2.94-3.23

Results
energy above the most stable polymorph in this dataset = 0.0317 eV/atom
M_tot = 0.00 μB per formula unit
density = 5.0 g/cm3
energy relative to the elements = -48 meV/atom
electronic total energy = -5.61 eV per atom

19.
# Ce4SiHg

A geometry-optimized Ce4SiHg structure (PBE, Alexandria).

a b c (Å): 5.2260 5.9404 8.7557
angles (deg): 90.00 90.00 90.00
Closest atoms and distances in Å follow each position.
Space group Immm (No. 71)
Symmetry-distinct sites (fractional):
Ce 0.0000 0.2484 0.1598 x8  5 Ce 2.80-3.05
Si 0.0000 0.5000 0.5000 x2  2 Hg 2.97, 8 Ce 3.31
Hg 0.0000 0.0000 0.5000 x2  2 Si 2.97, 12 Ce 3.32

Results
M_tot = 0.71 μB per formula unit
density = 9.6 g/cm3
raw formation energy = -0.172 eV per atom
electronic total energy = -5.08 eV per atom

20.
# Dy2Y

A geometry-optimized Dy2Y structure (PBE, Alexandria).

a b c (Å): 9.2746 9.2746 9.2746
angles (deg): 90.00 90.00 90.00
Closest atoms and distances in Å follow each position.
Space group Fd-3m (No. 227, origin choice 2)
Symmetry-distinct sites (fractional):
Dy 0.0000 0.0000 0.0000 x16  6 Dy 3.28
Y 0.1250 0.1250 0.6250 x8  12 Dy 3.85, 4 Y 4.02

Results
energy above the most stable polymorph in this dataset = 0.2119 eV/atom
M_tot = 0.17 μB per formula unit
density = 6.9 g/cm3
energy relative to the elements = 233 meV/atom
electronic total energy = -4.99 eV per atom